{
  "formula": "V2CdGeO8",
  "functional": "PBE with a Hubbard U",
  "state": "relaxed",
  "lattice": [[-2.332, 3.147, 3.962], [3.204, -4.333, 1.411], [4.899, 3.624, 0.005]],
  "species": ["O", "O", "O", "O", "O", "O", "O", "O", "Cd", "Ge", "V", "V"],
  "fractional_positions": [[0.154, 0.845, 0.693], [0.310, 0.154, 0.307], [0.845, 0.690, 0.307], [0.690, 0.846, 0.693], [0.333, 0.667, 0.040], [0.846, 0.155, 0.307], [0.155, 0.310, 0.693], [0.667, 0.333, 0.960], [0.000, 0.000, 0.000], [0.000, 0.000, 0.500], [0.667, 0.333, 0.228], [0.333, 0.667, 0.772]],
  "final_energy_ev_per_cell": -79.28,
  "crystal_system": "trigonal"
}